First-principles (GGA-PBEsol) data for a relaxed structure of Ba5Be, as listed in the Alexandria database.

## Properties
D(E_F) = 6.54 states/eV per cell
offset from the most stable computed form = 0.63 eV per formula unit
total DFT energy (no corrections) = -2.14 eV per atom
calculated volume = 46.4 Å³ per atom
calculated density = 4.15 g/cm³
space group = No. 65
formation energy from the elements = 0.3160 eV/atom

Lattice parameters (Å, degrees): 9.989 9.989 6.333 90.00 90.00 153.84
Positions (direct):
1 Ba 0.000 0.000 0.000
2 Ba 0.132 0.868 0.500
3 Ba 0.329 0.671 0.000
4 Ba 0.671 0.329 0.000
5 Ba 0.868 0.132 0.500
6 Be 0.500 0.500 0.500